Entry 1:
The following is a PBE calculation of crystalline PrHo2Hf at its relaxed geometry, from Alexandria via LeMat-Bulk.

Calculated values
- V (Å³/cell) = 351.8
- E above lowest polymorph (meV/atom) = 0
- energy (eV/atom) = -5.85
- calculated formation energy (eV/atom) = 0.12

abc: 3.452 3.452 34.088
angles: 90.00 90.00 120.00
Atoms (fractional coordinates):
1 Pr 0.000 0.000 0.000
2 Pr 0.333 0.667 0.667
3 Pr 0.667 0.333 0.333
4 Ho 0.000 0.000 0.243
5 Ho 0.000 0.000 0.424
6 Ho 0.333 0.667 0.091
7 Ho 0.333 0.667 0.910
8 Ho 0.667 0.333 0.576
9 Ho 0.667 0.333 0.757
10 Hf 0.000 0.000 0.834
11 Hf 0.333 0.667 0.500
12 Hf 0.667 0.333 0.167



Entry 2:
The following is a PBE calculation of crystalline Tb6NdDy2 at its relaxed geometry, from Alexandria via LeMat-Bulk.

Calculated values
- V (Å³/cell) = 300.8
- E above lowest polymorph (meV/atom) = 145
- energy (eV/atom) = -4.30
- calculated formation energy (eV/atom) = 0.34

abc: 7.674 7.674 7.674
angles: 57.46 57.46 57.46
Atoms (fractional coordinates):
1 Tb 0.015 0.493 0.493
2 Tb 0.280 0.280 0.847
3 Tb 0.280 0.847 0.280
4 Tb 0.493 0.015 0.493
5 Tb 0.493 0.493 0.015
6 Tb 0.847 0.280 0.280
7 Nd 0.549 0.549 0.549
8 Dy 0.812 0.812 0.812
9 Dy 0.987 0.987 0.987



Entry 3:
The following is a PBE calculation of crystalline Th5Hg2Bi at its relaxed geometry, from Alexandria via LeMat-Bulk.

Calculated values
- V (Å³/cell) = 496.0
- energy (eV/atom) = -5.22
- calculated formation energy (eV/atom) = -0.02

abc: 6.634 6.634 14.600
angles: 90.00 90.00 129.48
Atoms (fractional coordinates):
1 Th 0.067 0.933 0.750
2 Th 0.130 0.870 0.033
3 Th 0.130 0.870 0.467
4 Th 0.430 0.570 0.113
5 Th 0.430 0.570 0.387
6 Th 0.570 0.430 0.613
7 Th 0.570 0.430 0.887
8 Th 0.870 0.130 0.533
9 Th 0.870 0.130 0.967
10 Th 0.933 0.067 0.250
11 Hg 0.303 0.697 0.632
12 Hg 0.303 0.697 0.868
13 Hg 0.697 0.303 0.132
14 Hg 0.697 0.303 0.368
15 Bi 0.212 0.788 0.250
16 Bi 0.788 0.212 0.750